No. 1
This record from Alexandria via LeMat-Bulk describes a relaxed SrCu2SnS4 crystal. The functional is PBEsol.

Results
- Formation energy from raw total energies: -78 kJ/mol of atoms
- Magnetization: 0.00 μB/f.u.

Cell and atoms, written as extended XYZ:
```
24
Lattice="6.241 0.000 0.000 -3.120 5.405 0.000 0.000 0.000 15.344" Properties=species:S:1:pos:R:3 pbc="T T T"
Sr 1.370 2.373 2.557
Sr -1.750 3.032 12.787
Sr 3.501 0.000 7.672
Cu 0.617 5.014 11.439
Cu 1.591 1.973 14.135
Cu 3.737 0.391 3.905
Cu 0.913 2.364 6.324
Cu -1.530 3.432 1.209
Cu 4.034 3.041 9.020
Sn 0.925 1.603 10.229
Sn 4.390 0.000 0.000
Sn -2.195 3.802 5.115
S -1.284 4.756 10.166
S -0.357 1.914 15.281
S 1.641 4.139 5.051
S 4.761 1.266 10.293
S 2.764 3.490 0.063
S 1.836 0.648 5.178
S -1.231 2.600 6.977
S 1.485 3.039 12.092
S 4.605 2.366 3.252
S 1.889 2.805 8.367
S 2.867 0.234 13.482
S -0.254 5.171 1.863
```

No. 2
This record from Alexandria via LeMat-Bulk describes a relaxed LaY crystal. The functional is PBEsol.

Results
- DOS at the Fermi energy: 3.04 states/eV per cell
- Magnetization: 0.00 μB/f.u.
- Polymorph energy (0 for the lowest one): 0.04 eV/f.u.
- ΔE_f: 0.04 eV/f.u.

Cell and atoms, written as extended XYZ:
```
2
Lattice="3.623 0.000 0.000 0.000 3.623 0.000 0.000 0.000 4.937" Properties=species:S:1:pos:R:3 pbc="T T T"
Y 1.812 1.812 2.468
La 0.000 0.000 0.000
```

No. 3
This record from Alexandria via LeMat-Bulk describes a relaxed YGePd crystal. The functional is PBEsol.

Results
- DOS at the Fermi energy: 6.42 states/eV per cell
- Magnetization: 0.00 μB/f.u.
- ΔE_f: -3.15 eV/f.u.

Cell and atoms, written as extended XYZ:
```
18
Lattice="4.342 0.000 0.000 0.000 7.528 0.000 -2.171 -3.764 10.379" Properties=species:S:1:pos:R:3 pbc="T T T"
Y 0.000 4.030 0.000
Y 2.171 0.279 3.461
Y 0.000 4.043 6.918
Y 2.171 7.151 0.000
Y 2.171 -0.334 6.905
Y 0.000 3.431 3.474
Ge 2.171 -2.607 9.032
Ge 0.000 1.157 1.347
Ge 2.171 2.545 5.503
Ge 0.000 -1.220 4.876
Ge 2.171 4.930 1.985
Ge 0.000 1.166 8.394
Pd 2.171 2.464 8.212
Pd 0.000 6.228 2.167
Pd 2.171 5.018 4.811
Pd 0.000 1.253 5.568
Pd 2.171 2.437 1.477
Pd 0.000 -1.327 8.902
```

No. 4
This record from Alexandria via LeMat-Bulk describes a relaxed Sm2MgSe4 crystal. The functional is PBEsol.

Results
- Formation energy from raw total energies: -161 kJ/mol of atoms
- Magnetization: 0.00 μB/f.u.
- Polymorph energy (0 for the lowest one): 0.00 eV/f.u.

Cell and atoms, written as extended XYZ:
```
14
Lattice="7.486 -0.002 -0.003 -2.654 6.999 0.003 -2.654 -3.334 6.154" Properties=species:S:1:pos:R:3 pbc="T T T"
Sm 2.361 0.953 3.082
Sm -1.382 -0.327 3.847
Sm -1.511 3.626 4.611
Sm 4.886 3.075 0.768
Mg 0.000 0.000 0.000
Mg 1.089 4.415 1.539
Se 4.604 0.009 1.436
Se -3.109 1.417 5.461
Se -0.349 2.219 2.308
Se 3.209 3.681 3.103
Se 0.633 1.541 5.386
Se 3.394 -1.614 4.588
Se 2.120 1.725 0.100
Se -1.793 5.675 2.235
```

No. 5
This record from Alexandria via LeMat-Bulk describes a relaxed Mg2Ge2Pd crystal. The functional is PBEsol.

Results
- DOS at the Fermi energy: 2.76 states/eV per cell
- Magnetization: 0.00 μB/f.u.
- ΔE_f: -1.91 eV/f.u.

Cell and atoms, written as extended XYZ:
```
10
Lattice="-1.390 -2.833 2.776 5.912 -2.651 0.255 1.579 3.989 4.862" Properties=species:S:1:pos:R:3 pbc="T T T"
Ge 3.502 2.479 4.284
Ge 6.104 0.259 3.321
Ge 3.989 -1.141 0.833
Ge 1.387 1.079 1.796
Mg 1.393 0.810 4.706
Mg 4.591 0.096 5.579
Mg 4.708 -2.305 3.187
Mg 1.510 -1.591 2.314
Pd 0.000 0.000 0.000
Pd 3.745 0.669 2.559
```

No. 6
This record from Alexandria via LeMat-Bulk describes a relaxed LaTiCdBr2 crystal. The functional is PBEsol.

Results
- DOS at the Fermi energy: 8.14 states/eV per cell
- Formation energy from raw total energies: 56 kJ/mol of atoms
- Magnetization: 3.49 μB/f.u.

Cell and atoms, written as extended XYZ:
```
5
Lattice="-1.393 2.186 -4.600 -5.071 -0.158 1.461 0.546 5.613 2.502" Properties=species:S:1:pos:R:3 pbc="T T T"
Cd 0.000 0.000 0.000
Ti -2.959 3.821 -0.318
Br -2.536 -0.079 0.731
Br -0.697 1.093 -2.300
La 0.273 2.807 1.251
```